(1)
Ti8Sb4H PBE-GGA relaxed; SG = Pmm2; uncorrected energy = -6.807 eV/atom
1.0
3.662 0.000 0.000
0.000 4.428 0.000
0.000 0.000 13.666
Ti Sb H
8 4 1
direct
0.000 0.000 0.000
0.000 0.000 0.329
0.000 0.500 0.191
0.000 0.500 0.523
0.500 0.000 0.503
0.500 0.000 0.834
0.500 0.500 0.023
0.500 0.500 0.690
0.000 0.000 0.665
0.000 0.500 0.864
0.500 0.000 0.159
0.500 0.500 0.361
0.000 0.000 0.467

(2)
FeBiC3 PBE-GGA relaxed; SG = Pm-3m; ΔE_f = 1.94 eV per atom; uncorrected energy = -6.067 eV/atom; excess energy over the best structure of this formula in the dataset = 0 meV per atom
1.0
3.903 0.000 0.000
0.000 3.903 0.000
0.000 0.000 3.903
Fe Bi C
1 1 3
direct
0.000 0.000 0.000
0.500 0.500 0.500
0.000 0.000 0.500
0.000 0.500 0.000
0.500 0.000 0.000

(3)
GaAgS2Cl PBE-GGA relaxed; SG = P4/mmm; uncorrected energy = -3.076 eV/atom; energy relative to the elements, uncorrected = 120 meV per atom; excess energy over the best structure of this formula in the dataset = 0 meV per atom
1.0
4.693 0.000 0.000
0.000 4.693 0.000
0.000 0.000 5.023
Ga Ag S Cl
1 1 2 1
direct
0.000 0.000 0.000
0.500 0.500 0.500
0.000 0.500 0.000
0.500 0.000 0.000
0.000 0.000 0.500

(4)
ErZrAu PBE-GGA relaxed; SG = P3m1; ΔE_f = -0.24 eV per atom; uncorrected energy = -5.703 eV/atom; excess energy over the best structure of this formula in the dataset = 235 meV per atom
1.0
4.791 0.000 0.000
-2.395 4.149 0.000
0.000 0.000 3.604
Er Zr Au
1 1 1
direct
0.000 0.000 0.000
0.333 0.667 0.468
0.667 0.333 0.599

(5)
Zn2HgAu9 PBE-GGA relaxed; SG = P6/mmm; ΔE_f = -0.05 eV per atom; uncorrected energy = -2.741 eV/atom
1.0
9.303 0.000 0.000
-4.652 8.057 0.000
0.000 0.000 2.889
Zn Hg Au
2 1 9
direct
0.333 0.667 0.000
0.667 0.333 0.000
0.000 0.000 0.000
0.000 0.500 0.000
0.181 0.362 0.500
0.181 0.819 0.500
0.362 0.181 0.500
0.500 0.000 0.000
0.500 0.500 0.000
0.638 0.819 0.500
0.819 0.181 0.500
0.819 0.638 0.500

(6)
NpCoH2 PBE-GGA relaxed; SG = R-3m; uncorrected energy = -6.680 eV/atom
1.0
1.393 0.804 5.329
-1.393 0.804 5.329
0.000 -1.609 5.329
Np Co H
1 1 2
direct
0.000 0.000 0.000
0.500 0.500 0.500
0.216 0.216 0.216
0.784 0.784 0.784

Q: Look up the uncorrected energy of the fifth one.
A: -2.741 eV/atom